No. 1
Computed, not measured: a crystal of CaScW2 relaxed with PBEsol at the SCAN level of DFT.

Lattice parameters (Å, degrees): 2.914 2.914 10.024 90.00 90.00 110.86
Positions (direct):
W (0.000, 0.000, 0.982)
Ca (0.000, 0.000, 0.525)
W (0.500, 0.500, 0.783)
Sc (0.500, 0.500, 0.210)

Results
DOS at the Fermi energy	4.1	states/eV/cell
space group	Cmm2 (35)
offset from the most stable computed form	0.000	kcal/mol of atoms
formation energy	0.56	eV/atom



No. 2
Computed, not measured: a crystal of CaScW3 relaxed with PBEsol at the SCAN level of DFT.

Lattice parameters (Å, degrees): 4.708 4.708 4.708 90.00 90.00 90.00
Positions (direct):
Sc (0.000, 0.000, 0.000)
W (0.000, 0.000, 0.500)
Ca (0.500, 0.500, 0.500)
W (0.000, 0.500, 0.000)
W (0.500, 0.000, 0.000)

Results
DOS at the Fermi energy	3.9	states/eV/cell
space group	Pm-3m (221)
formation energy	2.31	eV/atom



No. 3
Computed, not measured: a crystal of CaSc4W relaxed with PBEsol at the SCAN level of DFT.

Lattice parameters (Å, degrees): 5.778 5.778 5.778 60.00 60.00 60.00
Positions (direct):
Sc (0.379, 0.379, 0.863)
Sc (0.379, 0.379, 0.379)
W (0.750, 0.750, 0.750)
Sc (0.863, 0.379, 0.379)
Sc (0.379, 0.863, 0.379)
Ca (0.000, 0.000, 0.000)

Results
DOS at the Fermi energy	8.1	states/eV/cell
space group	F-43m (216)
formation energy	0.80	eV/atom



No. 4
Computed, not measured: a crystal of CaY2Sc relaxed with PBEsol at the SCAN level of DFT.

Lattice parameters (Å, degrees): 3.486 3.486 11.767 81.48 81.48 60.00
Positions (direct):
Y (0.742, 0.742, 0.774)
Ca (0.500, 0.500, 0.500)
Sc (0.000, 0.000, 0.000)
Y (0.258, 0.258, 0.226)

Results
DOS at the Fermi energy	4.4	states/eV/cell
space group	R-3m (166)
offset from the most stable computed form	0.968	kcal/mol of atoms
formation energy	0.12	eV/atom



No. 5
Computed, not measured: a crystal of CaY2Sc relaxed with PBEsol at the SCAN level of DFT.

Lattice parameters (Å, degrees): 3.487 6.037 6.037 108.99 90.00 90.00
Last column: magnetic moment on the atom in μB.
Positions (direct):
Y (0.000, 0.000, 0.500)  -0.53
Sc (0.500, 0.500, 0.500)  -0.48
Ca (0.500, 0.000, 0.000)  -0.11
Y (0.000, 0.500, 0.000)  -0.53

Results
DOS at the Fermi energy	4.5	states/eV/cell
space group	Cmmm (65)
offset from the most stable computed form	2.407	kcal/mol of atoms
formation energy	0.18	eV/atom



No. 6
Computed, not measured: a crystal of CaY2Sc relaxed with PBEsol at the SCAN level of DFT.

Lattice parameters (Å, degrees): 5.543 5.543 5.543 60.00 60.00 60.00
Positions (direct):
Sc (0.500, 0.500, 0.500)
Ca (0.000, 0.000, 0.000)
Y (0.250, 0.250, 0.250)
Y (0.750, 0.750, 0.750)

Results
DOS at the Fermi energy	5.9	states/eV/cell
space group	Fm-3m (225)
offset from the most stable computed form	2.602	kcal/mol of atoms
formation energy	0.19	eV/atom



No. 7
Computed, not measured: a crystal of CaY2Sc relaxed with PBEsol at the SCAN level of DFT.

Lattice parameters (Å, degrees): 3.797 3.799 8.706 90.00 90.02 90.00
Positions (direct):
Y (0.000, 0.000, 0.295)
Sc (0.500, 0.500, 0.500)
Ca (0.500, 0.500, 0.000)
Y (0.000, 0.000, 0.705)

Results
DOS at the Fermi energy	3.9	states/eV/cell
space group	P4/mmm (123)
offset from the most stable computed form	0.000	kcal/mol of atoms
formation energy	0.08	eV/atom



No. 8
Computed, not measured: a crystal of CaYSc2 relaxed with PBEsol at the SCAN level of DFT.

Lattice parameters (Å, degrees): 3.705 3.705 8.565 90.00 90.00 90.00
Last column: magnetic moment on the atom in μB.
Positions (direct):
Sc (0.500, 0.500, 0.231)  0.06
Ca (0.500, 0.500, 0.768)  0.03
Y (0.000, 0.000, 0.454)  -0.08
Sc (0.000, 0.000, 0.046)  0.22

Results
DOS at the Fermi energy	4.6	states/eV/cell
space group	P4mm (99)
offset from the most stable computed form	0.000	kcal/mol of atoms
formation energy	0.11	eV/atom



formation energy of number 7 (CaY2Sc)?
0.08 eV/atom



Repeat the sixth record exactly.
Computed, not measured: a crystal of CaY2Sc relaxed with PBEsol at the SCAN level of DFT.

Lattice parameters (Å, degrees): 5.543 5.543 5.543 60.00 60.00 60.00
Positions (direct):
Sc (0.500, 0.500, 0.500)
Ca (0.000, 0.000, 0.000)
Y (0.250, 0.250, 0.250)
Y (0.750, 0.750, 0.750)

Results
DOS at the Fermi energy	5.9	states/eV/cell
space group	Fm-3m (225)
offset from the most stable computed form	2.602	kcal/mol of atoms
formation energy	0.19	eV/atom



Among the records above, which one has the highest formation energy?
CaScW3